1.
A relaxed NaGdNiS3 crystal, computed with PBE.

Computed properties:
magnetization: 0.20 μB/atom
distance to the lowest polymorph of the same formula: 0 meV per atom

Cell: 8.0136 3.8885 9.0425 Å, 90.00 102.40 90.00°
Site moments in Bohr magnetons follow the coordinates.
Positions (direct):
Gd 0.1720 0.2500 0.1506  0.01
Gd 0.8280 0.7500 0.8494  0.01
Na 0.6849 0.2500 0.2001  0.00
Na 0.3151 0.7500 0.7999  0.00
Ni 0.4206 0.7500 0.4103  0.73
Ni 0.5794 0.2500 0.5897  0.73
S 0.4129 0.7500 0.1556  0.10
S 0.9307 0.7500 0.1590  0.02
S 0.3080 0.2500 0.4688  0.17
S 0.6920 0.7500 0.5312  0.17
S 0.0693 0.2500 0.8410  0.02
S 0.5871 0.2500 0.8444  0.10

2.
A relaxed GdZrCSe crystal, computed with PBE.

Computed properties:
magnetization: 0.00 μB/atom
distance to the lowest polymorph of the same formula: 14 meV per atom

Cell: 3.6114 3.6114 13.1485 Å, 90.00 90.00 120.00°
Positions (direct):
C 0.0000 0.0000 0.2690
C 0.0000 0.0000 0.7310
Gd 0.3333 0.6667 0.1553
Gd 0.3333 0.6667 0.8447
Se 0.6667 0.3333 0.0000
Se 0.3333 0.6667 0.5000
Zr 0.6667 0.3333 0.3533
Zr 0.6667 0.3333 0.6467

3.
A relaxed BaCuNiTe3 crystal, computed with PBE.

Computed properties:
magnetization: 0.00 μB/atom

Cell: 7.2000 7.2000 10.8353 Å, 90.00 90.00 145.68°
Positions (direct):
Ba 0.7670 0.2330 0.2500
Ba 0.2330 0.7670 0.7500
Cu 0.4562 0.5438 0.2500
Cu 0.5438 0.4562 0.7500
Ni 0.0000 0.0000 0.0000
Ni 0.0000 0.0000 0.5000
Te 0.3785 0.6215 0.0275
Te 0.0597 0.9403 0.2500
Te 0.3785 0.6215 0.4725
Te 0.6215 0.3785 0.5275
Te 0.9403 0.0597 0.7500
Te 0.6215 0.3785 0.9725

4.
A relaxed DyScFe crystal, computed with PBE.

Computed properties:
magnetization: 0.41 μB/atom
distance to the lowest polymorph of the same formula: 818 meV per atom
calculated formation energy: 287 kJ/mol of formula units

Cell: 4.5871 4.5871 4.5871 Å, 60.00 60.00 60.00°
Site moments in Bohr magnetons follow the coordinates.
Positions (direct):
Dy 0.0000 0.0000 0.0000  -0.43
Fe 0.2500 0.2500 0.2500  2.11
Sc 0.7500 0.7500 0.7500  -0.36

5.
A relaxed SiAg2PbS4 crystal, computed with PBE.

Cell: 10.1554 6.2191 6.2191 Å, 113.16 90.00 90.00°
Positions (direct):
Ag 0.0995 0.5899 0.3560
Ag 0.4005 0.5899 0.3560
Ag 0.5995 0.3560 0.5899
Ag 0.9005 0.3560 0.5899
Pb 0.0000 0.9882 0.9882
Pb 0.5000 0.9882 0.9882
S 0.7500 0.3629 0.2721
S 0.2500 0.2721 0.3629
S 0.5755 0.9023 0.5055
S 0.9245 0.9023 0.5055
S 0.2500 0.9849 0.7375
S 0.0755 0.5055 0.9023
S 0.4245 0.5055 0.9023
S 0.7500 0.7375 0.9849
Si 0.7500 0.7255 0.3236
Si 0.2500 0.3236 0.7255

6.
A relaxed LaThTa crystal, computed with PBE.

Computed properties:
magnetization: 0.00 μB/atom
calculated formation energy: 335 kJ/mol of formula units

Cell: 5.1308 5.1308 5.1308 Å, 60.00 60.00 60.00°
Positions (direct):
La 0.0000 0.0000 0.0000
Ta 0.5000 0.5000 0.5000
Th 0.7500 0.7500 0.7500

7.
A relaxed Ag2HgGeSe2S2 crystal, computed with PBE.

Computed properties:
distance to the lowest polymorph of the same formula: 2 meV per atom

Cell: 7.2427 7.1989 5.8995 Å, 66.28 65.50 48.22°
Positions (direct):
Ag 0.2592 0.2592 0.2408
Ag 0.7592 0.7592 0.7408
Ge 0.9908 0.9908 0.0092
Hg 0.4998 0.4998 0.5002
S 0.6551 0.1008 0.3449
S 0.1008 0.6551 0.8992
Se 0.3437 0.8916 0.1084
Se 0.8916 0.3437 0.6563

8.
A relaxed NpAsH crystal, computed with PBE.

Computed properties:
magnetization: 1.00 μB/atom

Cell: 3.8179 3.8179 3.8439 Å, 90.00 90.00 120.00°
Site moments in Bohr magnetons follow the coordinates.
Positions (direct):
As 0.6667 0.3333 0.0000  -0.16
H 0.3333 0.6667 0.5000  -0.02
Np 0.0000 0.0000 0.5000  3.15

| no. | raw total energy (eV/atom) |
| --- | --- |
| 1 | -5.230 |
| 2 | -7.594 |
| 3 | -3.959 |
| 4 | -5.422 |
| 5 | -4.340 |
| 6 | -6.904 |
| 7 | -3.433 |
| 8 | -7.474 |